Material: Tl2InAs2
Method: DFT, PBE
State: optimized geometry

Results
- V: 26.78 Å³ per atom
- ΔE_f: 1.2 eV/f.u.
- Distance to the lowest polymorph of the same formula: 198 meV/atom

CIF file:
```
data_Tl2InAs2
_cell_length_a 8.9498
_cell_length_b 8.9498
_cell_length_c 3.3435
_cell_angle_alpha 90.00
_cell_angle_beta 90.00
_cell_angle_gamma 90.00
_symmetry_space_group_name_H-M 'P 4/m b m'
_symmetry_Int_Tables_number 127
_symmetry_space_group_name_Hall '-P 4 2ab'
loop_
_atom_site_label
_atom_site_type_symbol
_atom_site_fract_x
_atom_site_fract_y
_atom_site_fract_z
Tl1 Tl 0.1356 0.3644 0.0000
In1 In 0.0000 0.0000 0.0000
As1 As 0.1638 0.6638 0.5000
```